[1]
## TaIn3Mo (PBE)

Data for TaIn3Mo after structural relaxation.

Unit cell a=5.338 b=5.338 c=5.338 alpha=90.00 beta=90.00 gamma=90.00
Positions (direct):
Ta: 0.000 0.000 0.000
In: 0.000 0.000 0.500
In: 0.000 0.500 0.000
In: 0.500 0.000 0.000
Mo: 0.500 0.500 0.500

Summary:
Relative energy among the computed polymorphs (meV per atom): 0
Crystal system: cubic
VASP energy (eV per atom): -4.765
Energy of formation (meV/atom): 1415

[2]
## Er3ZrCd4 (PBE)

Data for Er3ZrCd4 after structural relaxation.

Unit cell a=3.678 b=3.678 c=14.536 alpha=90.00 beta=90.00 gamma=90.00
Positions (direct):
Er: 0.000 0.000 0.000
Er: 0.000 0.000 0.258
Er: 0.000 0.000 0.742
Zr: 0.000 0.000 0.500
Cd: 0.500 0.500 0.129
Cd: 0.500 0.500 0.386
Cd: 0.500 0.500 0.614
Cd: 0.500 0.500 0.871

Summary:
Crystal system: tetragonal
VASP energy (eV per atom): -3.472
Energy of formation (meV/atom): -235

[3]
## Pm4Pr3Y4 (PBE)

Data for Pm4Pr3Y4 after structural relaxation.

Unit cell a=12.333 b=12.333 c=12.333 alpha=163.03 beta=134.86 gamma=48.55
Positions (direct):
Pm: 0.033 0.855 0.177
Pm: 0.322 0.145 0.177
Pm: 0.678 0.855 0.823
Pm: 0.967 0.145 0.823
Pr: 0.000 0.500 0.500
Pr: 0.391 0.391 0.000
Pr: 0.609 0.609 0.000
Y: 0.258 0.758 0.500
Y: 0.318 0.000 0.318
Y: 0.682 0.000 0.682
Y: 0.742 0.242 0.500

Summary:
Relative energy among the computed polymorphs (meV per atom): 0
Crystal system: orthorhombic
VASP energy (eV per atom): -5.251
Energy of formation (meV/atom): 131

[4]
## Sr2ErGaCu2O7 (PBE)

Data for Sr2ErGaCu2O7 after structural relaxation.

Unit cell a=12.226 b=12.226 c=12.226 alpha=36.75 beta=154.00 gamma=154.49
Positions (direct):
Sr: 0.017 0.151 0.168
Sr: 0.017 0.349 0.366
Sr: 0.983 0.651 0.634
Sr: 0.983 0.849 0.832
Er: 0.004 0.004 0.000
Er: 0.004 0.504 0.500
Ga: 0.392 0.712 0.180
Ga: 0.531 0.212 0.820
Cu: 0.503 0.575 0.069
Cu: 0.503 0.934 0.429
Cu: 0.505 0.075 0.571
Cu: 0.505 0.434 0.931
O: 0.005 0.186 0.697
O: 0.005 0.325 0.805
O: 0.005 0.700 0.180
O: 0.005 0.807 0.318
O: 0.221 0.858 0.863
O: 0.485 0.204 0.633
O: 0.485 0.351 0.781
O: 0.489 0.307 0.303
O: 0.489 0.686 0.682
O: 0.520 0.200 0.195
O: 0.520 0.825 0.820
O: 0.571 0.704 0.219
O: 0.571 0.851 0.367
O: 0.995 0.358 0.137

Summary:
Crystal system: orthorhombic
Formation energy without anion corrections (eV per atom): -2.127
VASP energy (eV per atom): -6.269

[5]
## UTl2Cl6 (PBE)

Data for UTl2Cl6 after structural relaxation.

Unit cell a=7.477 b=7.477 c=6.869 alpha=100.91 beta=100.91 gamma=59.74
Positions (direct):
U: 0.000 0.000 0.000
Tl: 0.293 0.293 0.774
Tl: 0.707 0.707 0.226
Cl: 0.148 0.652 0.161
Cl: 0.158 0.158 0.312
Cl: 0.348 0.852 0.839
Cl: 0.652 0.148 0.161
Cl: 0.842 0.842 0.688
Cl: 0.852 0.348 0.839

Summary:
Relative energy among the computed polymorphs (meV per atom): 14
Crystal system: monoclinic
Formation energy without anion corrections (eV per atom): -1.446
VASP energy (eV per atom): -4.457

[6]
## YCd2Br (PBE)

Data for YCd2Br after structural relaxation.

Unit cell a=4.348 b=4.348 c=5.884 alpha=90.00 beta=90.00 gamma=90.00
Positions (direct):
Y: 0.000 0.000 0.000
Cd: 0.500 0.500 0.245
Cd: 0.500 0.500 0.755
Br: 0.000 0.000 0.500

Summary:
Relative energy among the computed polymorphs (meV per atom): 199
Crystal system: tetragonal
Formation energy without anion corrections (eV per atom): -0.330
VASP energy (eV per atom): -2.822

[7]
## SmNp6S12 (PBE)

Data for SmNp6S12 after structural relaxation.

Unit cell a=7.899 b=7.899 c=7.899 alpha=100.02 beta=100.02 gamma=100.02
Positions (direct):
Sm: 0.000 0.000 0.000
Np: 0.136 0.308 0.619
Np: 0.308 0.619 0.136
Np: 0.381 0.864 0.692
Np: 0.619 0.136 0.308
Np: 0.692 0.381 0.864
Np: 0.864 0.692 0.381
S: 0.059 0.935 0.667
S: 0.065 0.333 0.941
S: 0.178 0.577 0.429
S: 0.333 0.941 0.065
S: 0.423 0.571 0.822
S: 0.429 0.178 0.577
S: 0.571 0.822 0.423
S: 0.577 0.429 0.178
S: 0.667 0.059 0.935
S: 0.822 0.423 0.571
S: 0.935 0.667 0.059
S: 0.941 0.065 0.333

Summary:
Crystal system: trigonal
Formation energy without anion corrections (eV per atom): -1.424
VASP energy (eV per atom): -8.366

[8]
## CePtAu (PBE)

Data for CePtAu after structural relaxation.

Unit cell a=5.313 b=5.313 c=5.313 alpha=138.69 beta=138.69 gamma=59.85
Positions (direct):
Ce: 0.000 0.000 0.000
Pt: 0.348 0.348 0.000
Au: 0.676 0.676 0.000

Summary:
Relative energy among the computed polymorphs (meV per atom): 93
Crystal system: tetragonal
VASP energy (eV per atom): -5.881
Energy of formation (meV/atom): -797

[9]
## FeHgBi3 (PBE)

Data for FeHgBi3 after structural relaxation.

Unit cell a=5.167 b=5.167 c=5.167 alpha=90.00 beta=90.00 gamma=90.00
Positions (direct):
Fe: 0.000 0.000 0.000
Hg: 0.500 0.500 0.500
Bi: 0.000 0.000 0.500
Bi: 0.000 0.500 0.000
Bi: 0.500 0.000 0.000

Summary:
Relative energy among the computed polymorphs (meV per atom): 0
Crystal system: cubic
VASP energy (eV per atom): -3.674
Energy of formation (meV/atom): 407

[10]
## CdSeN2F (PBE)

Data for CdSeN2F after structural relaxation.

Unit cell a=4.621 b=4.621 c=4.012 alpha=90.00 beta=90.00 gamma=90.00
Positions (direct):
Cd: 0.000 0.000 0.000
Se: 0.500 0.500 0.000
N: 0.000 0.500 0.500
N: 0.500 0.000 0.500
F: 0.500 0.500 0.500

Summary:
Relative energy among the computed polymorphs (meV per atom): 1008
Crystal system: tetragonal
Formation energy without anion corrections (eV per atom): 1.796
VASP energy (eV per atom): -2.788

[11]
## TbSm5YIn2 (PBE)

Data for TbSm5YIn2 after structural relaxation.

Unit cell a=9.691 b=9.691 c=9.691 alpha=126.10 beta=126.10 gamma=79.73
Positions (direct):
Tb: 0.250 0.250 0.000
Tb: 0.750 0.750 0.000
Sm: 0.000 0.000 0.000
Sm: 0.076 0.576 0.906
Sm: 0.170 0.076 0.500
Sm: 0.330 0.830 0.906
Sm: 0.424 0.330 0.500
Sm: 0.500 0.500 0.000
Sm: 0.576 0.670 0.500
Sm: 0.670 0.170 0.094
Sm: 0.830 0.924 0.500
Sm: 0.924 0.424 0.094
Y: 0.250 0.750 0.500
Y: 0.750 0.250 0.500
In: 0.108 0.392 0.500
In: 0.392 0.892 0.283
In: 0.608 0.108 0.717
In: 0.892 0.608 0.500

Summary:
Crystal system: tetragonal
VASP energy (eV per atom): -4.453
Energy of formation (meV/atom): 10

[12]
## LaCe3Th2Te6 (PBE)

Data for LaCe3Th2Te6 after structural relaxation.

Unit cell a=7.726 b=7.726 c=7.868 alpha=99.42 beta=99.42 gamma=119.95
Positions (direct):
La: 0.000 0.000 0.000
Ce: 0.165 0.835 0.500
Ce: 0.500 0.500 0.500
Ce: 0.835 0.165 0.500
Th: 0.333 0.667 0.000
Th: 0.667 0.333 0.000
Te: 0.085 0.421 0.254
Te: 0.253 0.253 0.749
Te: 0.421 0.085 0.254
Te: 0.579 0.915 0.746
Te: 0.747 0.747 0.251
Te: 0.915 0.579 0.746

Summary:
Crystal system: monoclinic
Formation energy without anion corrections (eV per atom): -1.286
VASP energy (eV per atom): -5.987